ZnSi2: relaxed, GGA-PBE.

Cell lengths 3.626, 6.269, 4.635 Å; angles 90.00, 90.00, 90.00 degrees
Sites, in units of the cell vectors:
Zn 0.000 0.000 0.000
Zn 0.500 0.500 0.500
Si 0.242 0.374 0.000
Si 0.258 0.874 0.500
Si 0.742 0.126 0.500
Si 0.758 0.626 0.000

Properties
D(E_F): 0.26 states/eV/atom
VASP energy: -21.60 eV for the cell shown